DFT (GGA-PBE) results for Cd5InHg12 after structural relaxation.

DOS(E_F)   0.19 states/eV per atom
Calculated formation energy   32 meV/atom
Calculated total energy   -0.576 eV/atom

Cell: 5.4784 10.3006 16.4345 Å, 90.00 95.18 90.00°
With the nearest neighbours (Å) after each atom.
Space group C2/m (No. 12)
One atom of each set of equivalent atoms:
Cd: 0.0000 0.0000 0.0000 [2 per cell]  6 Hg 3.17-3.37, 6 Cd 3.23-3.44
Cd: 0.0000 0.1711 0.5000 [4 per cell]  3 Cd 3.19-3.52, 4 Hg 3.23-3.24, 3 In 3.26-3.39
Cd: 0.0000 0.3340 0.0000 [4 per cell]  6 Hg 3.17-3.38, 6 Cd 3.23-3.44
In: 0.0000 0.5000 0.5000 [2 per cell]  6 Cd 3.26-3.39, 4 Hg 3.26
Hg: 0.0854 0.0000 0.6655 [4 per cell]  8 Hg 3.23-3.42, 2 Cd 3.24
Hg: 0.0876 0.3321 0.6686 [8 per cell]  8 Hg 3.22-3.46, 1 Cd 3.23, 1 In 3.26
Hg: 0.1519 0.1662 0.8354 [8 per cell]  3 Cd 3.17-3.38, 8 Hg 3.22-3.44
Hg: 0.1518 0.5000 0.8351 [4 per cell]  3 Cd 3.17-3.37, 8 Hg 3.23-3.44

DFT (GGA-PBE) results for CdIn12Hg16 after structural relaxation.

DOS(E_F)   0.37 states/eV per atom
Calculated formation energy   23 meV/atom
Calculated total energy   -1.309 eV/atom

Cell: 11.4713 16.6606 9.9174 Å, 90.00 125.18 90.00°
With the nearest neighbours (Å) after each atom.
Space group Cm (No. 8)
One atom of each set of equivalent atoms:
Cd: 0.0000 0.0000 0.0000 [2 per cell]  7 Hg 3.12-3.44, 5 In 3.26-3.44
In: 0.0338 0.0000 0.5341 [2 per cell]  6 Hg 3.14-3.35, 3 In 3.21-3.25
In: 0.0944 0.2848 0.4736 [4 per cell]  5 Hg 3.05-3.35, 3 In 3.20-3.25
In: 0.3004 0.5000 0.1356 [2 per cell]  7 Hg 3.17-3.48, 3 In 3.25-3.39, 1 Cd 3.26
In: 0.3171 0.0988 0.2619 [4 per cell]  5 Hg 3.08-3.43, 3 In 3.22-3.29, 1 Cd 3.44
In: 0.3628 0.2450 0.0845 [4 per cell]  6 Hg 3.04-3.20, 2 In 3.22
In: 0.3633 0.4028 0.6480 [4 per cell]  6 Hg 3.12-3.47, 3 In 3.20-3.24, 1 Cd 3.31
In: 0.4932 0.1070 0.9500 [4 per cell]  8 Hg 3.15-3.36, 2 In 3.39-3.41
Hg: 0.0487 0.2010 0.9657 [4 per cell]  5 In 3.10-3.25, 3 Hg 3.36-3.45, 1 Cd 3.44
Hg: 0.0720 0.5000 0.5518 [2 per cell]  4 Hg 3.01-3.05, 4 In 3.14-3.32
Hg: 0.0761 0.1144 0.3105 [4 per cell]  5 In 3.08-3.21, 1 Cd 3.28, 2 Hg 3.39-3.42
Hg: 0.1070 0.5000 0.2731 [2 per cell]  1 Hg 3.01, 3 In 3.20-3.21
Hg: 0.1705 0.1596 0.7364 [4 per cell]  5 In 3.05-3.27, 2 Hg 3.18-3.36
Hg: 0.2139 0.3821 0.8403 [4 per cell]  4 In 3.04-3.29, 2 Hg 3.05-3.27, 1 Cd 3.34
Hg: 0.2432 0.0000 0.9471 [2 per cell]  1 Cd 3.12, 5 In 3.18-3.36, 2 Hg 3.18
Hg: 0.2661 0.3242 0.2997 [4 per cell]  5 In 3.20-3.48, 3 Hg 3.27-3.45
Hg: 0.3426 0.0000 0.6168 [2 per cell]  5 Hg 3.05-3.39, 3 In 3.14-3.24
Hg: 0.3974 0.1987 0.6077 [4 per cell]  5 In 3.23-3.47, 7 Hg 3.27-3.56

DFT (GGA-PBE) results for Cd2In3Hg6 after structural relaxation.

DOS(E_F)   0.44 states/eV per atom
Calculated formation energy   23 meV/atom
Calculated total energy   -1.055 eV/atom

Cell: 4.1155 4.1155 62.1516 Å, 90.00 90.00 120.00°
With the nearest neighbours (Å) after each atom.
Space group R-3m (No. 166, hexagonal axes)
One atom of each set of equivalent atoms:
Cd: 0.0000 0.0000 0.0449 [6 per cell]  6 Hg 3.00
In: 0.0000 0.0000 0.2286 [6 per cell]  6 Hg 3.03-3.05
In: 0.0000 0.0000 0.5000 [3 per cell]  6 Hg 3.06
Hg: 0.0000 0.0000 0.1356 [6 per cell]  6 In 3.05-3.06
Hg: 0.0000 0.0000 0.3180 [6 per cell]  3 Cd 3.00, 3 Hg 3.05
Hg: 0.0000 0.0000 0.4077 [6 per cell]  3 Cd 3.00, 3 In 3.03

DFT (GGA-PBE) results for CdIn2Hg6 after structural relaxation.

Polymorph energy (0 for the lowest one)   0.020 eV per atom
DOS(E_F)   0.22 states/eV per atom
Calculated formation energy   30 meV/atom
Calculated total energy   -0.882 eV/atom

Cell: 14.1160 3.4987 11.0775 Å, 90.00 115.74 90.00°
With the nearest neighbours (Å) after each atom.
Space group C2/m (No. 12)
One atom of each set of equivalent atoms:
Cd: 0.0000 0.0000 0.0000 [2 per cell]  2 Hg 3.08, 4 In 3.14
In: 0.1117 0.5000 0.2594 [4 per cell]  7 Hg 3.07-3.42, 2 Cd 3.14
Hg: 0.0524 0.0000 0.6893 [4 per cell]  2 In 3.15, 6 Hg 3.18-3.50
Hg: 0.1744 0.5000 0.5621 [4 per cell]  3 In 3.07-3.30, 3 Hg 3.18-3.28
Hg: 0.2415 0.0000 0.1116 [4 per cell]  1 Cd 3.08, 5 Hg 3.12-3.29, 2 In 3.42

DFT (GGA-PBE) results for Cd2In5Hg2 after structural relaxation.

Polymorph energy (0 for the lowest one)   0.010 eV per atom
DOS(E_F)   0.42 states/eV per atom
Calculated formation energy   51 meV/atom
Calculated total energy   -1.741 eV/atom

Cell: 14.4554 9.4262 7.0853 Å, 90.00 90.00 90.00°
With the nearest neighbours (Å) after each atom.
Space group Ima2 (No. 46)
One atom of each set of equivalent atoms:
Cd: 0.0000 0.0000 0.0000 [4 per cell]  6 In 2.99-3.34, 2 Hg 3.02
Cd: 0.2500 0.0268 0.2915 [4 per cell]  5 In 2.99-3.22, 2 Hg 3.23
In: 0.0542 0.6793 0.8341 [8 per cell]  2 Cd 3.01-3.34, 2 Hg 3.09-3.25, 2 In 3.19-3.26
In: 0.1428 0.2289 0.9967 [8 per cell]  3 Cd 2.99-3.22, 2 Hg 3.04-3.26, 2 In 3.10-3.19
In: 0.2500 0.6967 0.4927 [4 per cell]  1 Cd 2.99, 2 Hg 3.23, 2 In 3.26
Hg: 0.1360 0.5213 0.1784 [8 per cell]  2 Cd 3.02-3.23, 5 In 3.04-3.26, 1 Hg 3.30